Entry 1
A geometry-optimized PmPu3Al8 structure, computed with PBE-GGA.

- calculated density (g cm⁻³) = 7.55
- size of the total moment (μB/f.u.) = 5.91

a b c (Å): 5.541 5.541 9.586
angles (deg): 73.20 73.20 60.00
Positions (direct):
1 Pu 0.002 0.002 0.993
2 Pu 0.376 0.376 0.872
3 Al 0.938 0.436 0.689
4 Al 0.688 0.688 0.937
5 Pm 0.876 0.876 0.373
6 Al 0.938 0.438 0.186
7 Al 0.438 0.938 0.186
8 Al 0.438 0.438 0.186
9 Al 0.436 0.938 0.689
10 Al 0.938 0.938 0.689
11 Pu 0.496 0.496 0.513
12 Al 0.187 0.187 0.439

=====

Entry 2
A geometry-optimized PmPu3Al8 structure, computed with PBE-GGA.

- calculated density (g cm⁻³) = 7.58
- size of the total moment (μB/f.u.) = 5.74

a b c (Å): 5.608 5.608 8.794
angles (deg): 90.00 90.00 120.00
Positions (direct):
1 Pu 0.667 0.333 0.092
2 Al 0.679 0.839 0.248
3 Al 0.333 0.667 0.000
4 Al 0.333 0.667 0.497
5 Pu 0.000 0.000 0.933
6 Al 0.506 0.013 0.753
7 Al 0.161 0.321 0.248
8 Pm 0.000 0.000 0.575
9 Al 0.987 0.494 0.753
10 Al 0.506 0.494 0.753
11 Al 0.161 0.839 0.248
12 Pu 0.667 0.333 0.402

=====

Name the least stable of them. entry 2.

=====

Entry 1
A geometry-optimized Pm8Al2Rh structure, computed with PBE-GGA.

- calculated density (g cm⁻³) = 6.99
- size of the total moment (μB/f.u.) = 0.00

a b c (Å): 5.464 7.009 9.302
angles (deg): 112.12 107.08 90.00
Positions (direct):
1 Al 0.815 0.315 0.631
2 Pm 0.630 0.393 0.260
3 Pm 0.370 0.607 0.740
4 Pm 0.000 0.253 0.000
5 Pm 0.370 0.133 0.740
6 Pm 0.196 0.196 0.392
7 Al 0.185 0.685 0.369
8 Rh 0.500 0.000 0.000
9 Pm 0.630 0.867 0.260
10 Pm 0.000 0.747 0.000
11 Pm 0.804 0.804 0.608

=====

Entry 2
A geometry-optimized Pm8Al2Rh structure, computed with PBE-GGA.

- calculated density (g cm⁻³) = 6.85
- size of the total moment (μB/f.u.) = 0.00

a b c (Å): 5.135 6.827 9.651
angles (deg): 101.57 105.43 90.00
Positions (direct):
1 Pm 0.350 0.032 0.700
2 Pm 0.650 0.968 0.300
3 Pm 0.021 0.778 0.041
4 Rh 0.500 0.000 0.000
5 Pm 0.979 0.222 0.959
6 Al 0.811 0.255 0.622
7 Pm 0.792 0.703 0.583
8 Al 0.189 0.745 0.378
9 Pm 0.208 0.297 0.417
10 Pm 0.594 0.453 0.187
11 Pm 0.406 0.547 0.813

=====

Name the least stable of them. entry 1.

=====

Entry 1
A geometry-optimized Pm3AlRh2 structure, computed with PBE-GGA.

- calculated density (g cm⁻³) = 7.52
- size of the total moment (μB/f.u.) = 0.00

a b c (Å): 3.923 12.286 12.236
angles (deg): 90.00 90.00 90.00
Positions (direct):
1 Pm 0.250 0.821 0.693
2 Pm 0.250 0.679 0.193
3 Rh 0.750 0.305 0.514
4 Rh 0.250 0.805 0.986
5 Pm 0.750 0.321 0.807
6 Rh 0.250 0.488 0.801
7 Pm 0.750 0.877 0.434
8 Pm 0.250 0.123 0.566
9 Pm 0.750 0.928 0.130
10 Rh 0.750 0.512 0.199
11 Pm 0.750 0.572 0.630
12 Al 0.250 0.129 0.121
13 Rh 0.250 0.695 0.486
14 Pm 0.250 0.072 0.870
15 Al 0.750 0.871 0.879
16 Rh 0.750 0.988 0.699
17 Rh 0.750 0.195 0.014
18 Al 0.250 0.371 0.621
19 Pm 0.250 0.377 0.066
20 Al 0.750 0.629 0.379
21 Pm 0.250 0.428 0.370
22 Rh 0.250 0.012 0.301
23 Pm 0.750 0.179 0.307
24 Pm 0.750 0.623 0.934

=====

Entry 2
A geometry-optimized Pm3AlRh2 structure, computed with PBE-GGA.

- calculated density (g cm⁻³) = 6.98
- size of the total moment (μB/f.u.) = 0.00

a b c (Å): 4.224 8.178 10.337
angles (deg): 68.09 78.21 75.03
Positions (direct):
1 Al 0.567 0.513 0.352
2 Al 0.433 0.487 0.648
3 Rh 0.142 0.528 0.187
4 Rh 0.390 0.792 0.428
5 Pm 0.789 0.814 0.607
6 Pm 0.654 0.693 0.000
7 Pm 0.048 0.132 0.772
8 Rh 0.858 0.472 0.813
9 Pm 0.346 0.307 0.000
10 Rh 0.610 0.208 0.572
11 Pm 0.952 0.868 0.228
12 Pm 0.211 0.186 0.393

=====

Name the least stable of them. entry 2.

=====

Entry 1
A geometry-optimized Pm2Al2Rh structure, computed with PBE-GGA.

- calculated density (g cm⁻³) = 6.09
- size of the total moment (μB/f.u.) = 0.00

a b c (Å): 4.568 4.568 12.107
angles (deg): 100.88 100.88 90.00
Positions (direct):
1 Al 0.429 0.929 0.857
2 Rh 0.500 0.500 0.000
3 Pm 0.932 0.432 0.863
4 Rh 0.250 0.750 0.500
5 Al 0.679 0.679 0.357
6 Pm 0.182 0.182 0.363
7 Pm 0.568 0.068 0.137
8 Pm 0.818 0.818 0.637
9 Al 0.071 0.571 0.143
10 Al 0.321 0.321 0.643

=====

Entry 2
A geometry-optimized Pm2Al2Rh structure, computed with PBE-GGA.

- calculated density (g cm⁻³) = 6.50
- size of the total moment (μB/f.u.) = 0.00

a b c (Å): 4.578 5.811 9.619
angles (deg): 82.21 76.24 66.81
Positions (direct):
1 Al 0.910 0.744 0.437
2 Pm 0.912 0.281 0.895
3 Al 0.090 0.256 0.563
4 Al 0.620 0.887 0.873
5 Rh 0.348 0.923 0.382
6 Pm 0.669 0.340 0.322
7 Al 0.380 0.113 0.127
8 Pm 0.331 0.660 0.678
9 Rh 0.652 0.077 0.618
10 Pm 0.088 0.719 0.105

=====

Name the least stable of them. entry 1.

=====

Entry 1
A geometry-optimized PmAlRh structure, computed with PBE-GGA.

- calculated density (g cm⁻³) = 6.54
- size of the total moment (μB/f.u.) = 0.00

a b c (Å): 3.862 3.862 5.845
angles (deg): 70.71 70.71 60.00
Positions (direct):
1 Al 0.524 0.524 0.427
2 Pm 0.337 0.337 0.988
3 Rh 0.124 0.124 0.629

=====

Entry 2
A geometry-optimized PmAlRh structure, computed with PBE-GGA.

- calculated density (g cm⁻³) = 7.50
- size of the total moment (μB/f.u.) = 0.00

a b c (Å): 4.641 7.056 7.432
angles (deg): 90.00 90.00 90.00
Positions (direct):
1 Rh 0.250 0.068 0.151
2 Rh 0.250 0.432 0.651
3 Pm 0.250 0.683 0.970
4 Pm 0.250 0.817 0.470
5 Al 0.750 0.890 0.186
6 Al 0.250 0.390 0.314
7 Pm 0.750 0.183 0.530
8 Al 0.250 0.110 0.814
9 Rh 0.750 0.932 0.849
10 Al 0.750 0.610 0.686
11 Pm 0.750 0.317 0.030
12 Rh 0.750 0.568 0.349

=====

Name the least stable of them. entry 1.

=====

Entry 1
A geometry-optimized PmAlRh structure, computed with PBE-GGA.

- calculated density (g cm⁻³) = 7.68
- size of the total moment (μB/f.u.) = 0.00

a b c (Å): 3.247 3.247 6.089
angles (deg): 105.46 105.46 90.00
Positions (direct):
1 Pm 0.010 0.010 0.019
2 Al 0.296 0.296 0.593
3 Rh 0.694 0.694 0.388

=====

Entry 2
A geometry-optimized PmAlRh structure, computed with PBE-GGA.

- calculated density (g cm⁻³) = 6.61
- size of the total moment (μB/f.u.) = 0.00

a b c (Å): 4.605 4.605 4.605
angles (deg): 60.00 60.00 60.00
Positions (direct):
1 Al 0.000 0.000 0.000
2 Pm 0.500 0.500 0.500
3 Rh 0.250 0.250 0.250

=====

Name the least stable of them. entry 2.

=====

Entry 1
A geometry-optimized Pm2AlRh3 structure, computed with PBE-GGA.

- calculated density (g cm⁻³) = 8.39
- size of the total moment (μB/f.u.) = 0.00

a b c (Å): 4.229 5.365 6.439
angles (deg): 114.62 109.17 90.00
Positions (direct):
1 Al 0.000 0.500 0.000
2 Pm 0.684 0.184 0.368
3 Rh 0.624 0.624 0.248
4 Pm 0.316 0.816 0.632
5 Rh 0.376 0.376 0.752
6 Rh 0.000 0.000 0.000

=====

Entry 2
A geometry-optimized Pm2AlRh3 structure, computed with PBE-GGA.

- calculated density (g cm⁻³) = 9.23
- size of the total moment (μB/f.u.) = 0.00

a b c (Å): 5.167 5.167 5.167
angles (deg): 67.17 67.17 67.17
Positions (direct):
1 Pm 0.370 0.370 0.370
2 Rh 0.500 0.000 0.000
3 Al 0.000 0.000 0.000
4 Pm 0.630 0.630 0.630
5 Rh 0.000 0.000 0.500
6 Rh 0.000 0.500 0.000

=====

Name the least stable of them. entry 1.

=====

Entry 1
A geometry-optimized PmSmAlRh structure, computed with PBE-GGA.

- calculated density (g cm⁻³) = 7.22
- size of the total moment (μB/f.u.) = 0.00

a b c (Å): 4.523 3.806 6.117
angles (deg): 90.00 111.70 90.00
Positions (direct):
1 Pm 0.157 0.000 0.314
2 Sm 0.866 0.500 0.731
3 Rh 0.414 0.000 0.829
4 Al 0.563 0.500 0.126

=====

Entry 2
A geometry-optimized PmSmAlRh structure, computed with PBE-GGA.

- calculated density (g cm⁻³) = 7.49
- size of the total moment (μB/f.u.) = 0.00

a b c (Å): 5.109 5.109 5.109
angles (deg): 60.00 60.00 60.00
Positions (direct):
1 Rh 0.000 0.000 0.000
2 Sm 0.750 0.750 0.750
3 Al 0.500 0.500 0.500
4 Pm 0.250 0.250 0.250

=====

Name the least stable of them. entry 2.